The following is a PBE calculation of an optimized crystal structure of TbMgNiIr, from Alexandria.

The space group is F-43m (No. 216) and the conventional cell measures 6.556, 6.556 and 6.556 Å, with angles of 90.00, 90.00 and 90.00 degrees. Symmetry generates all atoms from Tb at (0.000, 0.000, 0.000), Mg at (0.000, 0.000, 0.500), Ni at (0.250, 0.250, 0.750) and Ir at (0.250, 0.250, 0.250).

The calculation puts the magnetic moment at 0.00 μB per atom. The density of states at the Fermi level comes out at 2.087 states/eV/f.u. As for the energy: -5.6474 eV/atom.



The following is a PBE calculation of an optimized crystal structure of AlFe2Pb, from Alexandria.

The space group is Cm (No. 8) and the conventional cell measures 9.296, 3.179 and 4.550 Å, with angles of 90.00, 108.19 and 90.00 degrees. Symmetry generates all atoms from Al at (0.000, 0.000, 0.000), Fe at (0.250, 0.500, 0.175), Fe at (0.456, 0.000, 0.418) and Pb at (0.219, 0.000, 0.655).

As for the energy above the most stable polymorph in this dataset: 0.428 eV per formula unit. The calculation puts the magnetic moment at 1.03 μB per atom. The density of states at the Fermi level comes out at 3.399 states/eV/f.u.



The following is a PBE calculation of an optimized crystal structure of MnIrRu, from Alexandria.

The space group is F-43m (No. 216) and the conventional cell measures 5.652, 5.652 and 5.652 Å, with angles of 90.00, 90.00 and 90.00 degrees. Symmetry generates all atoms from Mn at (0.000, 0.000, 0.000), Ir at (0.250, 0.250, 0.250) and Ru at (0.250, 0.250, 0.750).

As for the energy above the most stable polymorph in this dataset: 1.288 eV per formula unit. The calculation puts the magnetic moment at 0.18 μB per atom. The density of states at the Fermi level comes out at 4.275 states/eV/f.u.



The following is a PBE calculation of an optimized crystal structure of KMn2P, from Alexandria.

The space group is R3m (No. 160, hexagonal axes) and the conventional cell measures 4.0022, 4.0022 and 18.5508 Å, with angles of 90.00, 90.00 and 120.00 degrees. Symmetry generates all atoms from K at (0.0000, 0.0000, 0.0000), Mn at (0.0000, 0.0000, 0.5016), Mn at (0.0000, 0.0000, 0.8121) and P at (0.0000, 0.0000, 0.1961).

The calculation puts the magnetic moment at 0.27 μB per atom. The density of states at the Fermi level comes out at 1.638 states/eV/f.u. As for the energy: -6.2328 eV/atom.



The following is a PBE calculation of an optimized crystal structure of LiHN2O, from Alexandria.

The space group is P4/mmm (No. 123) and the conventional cell measures 2.755, 2.755 and 5.720 Å, with angles of 90.00, 90.00 and 90.00 degrees. Symmetry generates all atoms from Li at (0.000, 0.000, 0.000), H at (0.500, 0.500, 0.500), N at (0.000, 0.500, 0.500) and O at (0.500, 0.500, 0.000).

The calculation puts the magnetic moment at 0.00 μB per atom. The density of states at the Fermi level comes out at 5.568 states/eV/f.u. As for the energy: -4.0566 eV/atom.



The following is a PBE calculation of an optimized crystal structure of Pm8Sn5Pb, from Alexandria.

The space group is I-4 (No. 82) and the conventional cell measures 9.556, 9.556 and 9.564 Å, with angles of 90.00, 90.00 and 90.00 degrees. Symmetry generates all atoms from Pm at (0.070, 0.181, 0.307), Pm at (0.070, 0.321, 0.945), Sn at (0.000, 0.500, 0.250), Sn at (0.125, 0.250, 0.626) and Pb at (0.000, 0.000, 0.000).

The calculation puts the magnetic moment at 0.00 μB per atom. The density of states at the Fermi level comes out at 1.833 states/eV/f.u. As for the energy: -5.1308 eV/atom.



The following is a PBE calculation of an optimized crystal structure of KRh2Pb, from Alexandria.

The space group is Pmm2 (No. 25) and the conventional cell measures 3.076, 3.810 and 8.075 Å, with angles of 90.00, 90.00 and 90.00 degrees. Symmetry generates all atoms from K at (0.000, 0.000, 0.000), Rh at (0.000, 0.000, 0.579), Rh at (0.500, 0.500, 0.700) and Pb at (0.500, 0.500, 0.359).

The calculation puts the magnetic moment at 0.20 μB per atom. The density of states at the Fermi level comes out at 5.062 states/eV/f.u. As for the energy: -4.6370 eV/atom.



The following is a PBE calculation of an optimized crystal structure of SmEr4Tl5, from Alexandria.

The space group is P4/mmm (No. 123) and the conventional cell measures 3.743, 3.743 and 19.390 Å, with angles of 90.00, 90.00 and 90.00 degrees. Symmetry generates all atoms from Sm at (0.000, 0.000, 0.000), Er at (0.000, 0.000, 0.205), Er at (0.000, 0.000, 0.402), Tl at (0.500, 0.500, 0.106), Tl at (0.500, 0.500, 0.304) and Tl at (0.500, 0.500, 0.500).

The calculation puts the magnetic moment at 0.00 μB per atom. The density of states at the Fermi level comes out at 7.891 states/eV/f.u. As for the energy: -3.8065 eV/atom.



The following is a PBE calculation of an optimized crystal structure of Na5Th3S12, from Alexandria.

The space group is Ia-3d (No. 230) and the conventional cell measures 16.385, 16.385 and 16.385 Å, with angles of 90.00, 90.00 and 90.00 degrees. Symmetry generates all atoms from Na at (0.000, 0.000, 0.000), Na at (0.000, 0.250, 0.375), Th at (0.000, 0.250, 0.125) and S at (0.012, 0.083, 0.669).

The calculation puts the raw formation energy at -23.28 kcal/mol of atoms. The calculation puts the magnetic moment at 0.20 μB per atom. The density of states at the Fermi level comes out at 14.408 states/eV/f.u.



The following is a PBE calculation of an optimized crystal structure of TcMo3, from Alexandria.

The space group is Cmmm (No. 65) and the conventional cell measures 3.148, 4.442 and 8.905 Å, with angles of 90.00, 90.00 and 90.00 degrees. Symmetry generates all atoms from Tc at (0.000, 0.000, 0.000), Mo at (0.000, 0.000, 0.500) and Mo at (0.000, 0.500, 0.248).

As for the energy above the most stable polymorph in this dataset: 0.137 eV per formula unit. The calculation puts the magnetic moment at 0.00 μB per atom. The density of states at the Fermi level comes out at 4.078 states/eV/f.u.



The following is a PBE calculation of an optimized crystal structure of GdLuScIr, from Alexandria.

The space group is F-43m (No. 216) and the conventional cell measures 7.076, 7.076 and 7.076 Å, with angles of 90.00, 90.00 and 90.00 degrees. Symmetry generates all atoms from Gd at (0.000, 0.000, 0.000), Lu at (0.000, 0.000, 0.500), Sc at (0.250, 0.250, 0.750) and Ir at (0.250, 0.250, 0.250).

The calculation puts the magnetic moment at 1.82 μB per atom. The density of states at the Fermi level comes out at 4.123 states/eV/f.u. As for the energy: -8.7373 eV/atom.



The following is a PBE calculation of an optimized crystal structure of ZrScSi3, from Alexandria.

The space group is Pm-3m (No. 221) and the conventional cell measures 4.948, 4.948 and 4.948 Å, with angles of 90.00, 90.00 and 90.00 degrees. Symmetry generates all atoms from Zr at (0.000, 0.000, 0.000), Sc at (0.500, 0.500, 0.500) and Si at (0.000, 0.000, 0.500).

The calculation puts the raw formation energy at 12.38 kcal/mol of atoms. As for the energy above the most stable polymorph in this dataset: 0.000 eV per formula unit. The calculation puts the magnetic moment at 0.00 μB per atom. The density of states at the Fermi level comes out at 3.929 states/eV/f.u.



Number 11 is which compound? GdLuScIr



The highest magnetic moment belongs to which entry? GdLuScIr



Which formula does entry 2 have? AlFe2Pb